one | Density functional theory data (PBE) for crystalline PrTh2Pd at its relaxed geometry. Values from VASP.

Quantum ESPRESSO input file:
```
&SYSTEM
  ibrav = 0, nat = 4, ntyp = 3
/
ATOMIC_SPECIES
Pr 140.91 Pr.upf
Th 232.04 Th.upf
Pd 106.42 Pd.upf
ATOMIC_POSITIONS crystal
Pr 0.4986 0.4986 0.5042
Th 0.0678 0.0678 0.7967
Th 0.2656 0.2656 0.2033
Pd 0.6681 0.6681 0.9957
CELL_PARAMETERS angstrom
3.7705 0.0000 0.0000
1.8852 3.2653 0.0000
1.8852 1.0884 9.9177
```

Summary:
Its size of the total moment is 0.0 μB/f.u.

two | Density functional theory data (PBE) for crystalline PrTh2Pd at its relaxed geometry. Values from VASP.

Quantum ESPRESSO input file:
```
&SYSTEM
  ibrav = 0, nat = 8, ntyp = 3
/
ATOMIC_SPECIES
Pr 140.91 Pr.upf
Th 232.04 Th.upf
Pd 106.42 Pd.upf
ATOMIC_POSITIONS crystal
Pr 0.9195 0.8405 0.2500
Pr 0.0805 0.1595 0.7500
Th 0.3628 0.7266 0.5502
Th 0.6372 0.2734 0.4498
Th 0.3628 0.7266 0.9498
Th 0.6372 0.2734 0.0502
Pd 0.7880 0.5761 0.7500
Pd 0.2120 0.4239 0.2500
CELL_PARAMETERS angstrom
3.7907 -0.0006 0.0000
-1.8963 6.0212 0.0000
0.0000 0.0000 10.3064
```

Summary:
Its size of the total moment is 0.0 μB/f.u.

three | Density functional theory data (PBE) for crystalline PrTh2Pd at its relaxed geometry. Values from VASP.

Quantum ESPRESSO input file:
```
&SYSTEM
  ibrav = 0, nat = 4, ntyp = 3
/
ATOMIC_SPECIES
Pr 140.91 Pr.upf
Pd 106.42 Pd.upf
Th 232.04 Th.upf
ATOMIC_POSITIONS crystal
Pr 0.0000 0.0000 0.0000
Pd 0.5000 0.5000 0.5000
Th 0.1018 0.1018 0.6946
Th 0.8982 0.8982 0.3054
CELL_PARAMETERS angstrom
3.5581 0.0000 0.0000
1.7791 3.0814 0.0000
1.7791 1.0271 11.1378
```

Summary:
Its size of the total moment is 0.0 μB/f.u.

four | Density functional theory data (PBE) for crystalline PrTh2Pd at its relaxed geometry. Values from VASP.

Quantum ESPRESSO input file:
```
&SYSTEM
  ibrav = 0, nat = 4, ntyp = 3
/
ATOMIC_SPECIES
Pr 140.91 Pr.upf
Pd 106.42 Pd.upf
Th 232.04 Th.upf
ATOMIC_POSITIONS crystal
Pr 0.5000 0.5000 0.5000
Pd 0.5000 0.5000 0.0000
Th 0.0000 0.0000 0.7962
Th 0.0000 0.0000 0.2038
CELL_PARAMETERS angstrom
-3.6182 -0.4385 -0.6154
0.6961 -3.1056 -1.8798
-0.6743 -4.4851 7.1600
```

Summary:
Its size of the total moment is 0.0 μB/f.u.

Result of the stability comparison: two is the most stable of them.

one | Density functional theory data (PBE) for crystalline Pr4TlPd at its relaxed geometry. Values from VASP.

Quantum ESPRESSO input file:
```
&SYSTEM
  ibrav = 0, nat = 12, ntyp = 3
/
ATOMIC_SPECIES
Pr 140.91 Pr.upf
Tl 204.38 Tl.upf
Pd 106.42 Pd.upf
ATOMIC_POSITIONS crystal
Pr 0.5823 0.2500 0.4377
Pr 0.4177 0.7500 0.5623
Pr 0.6353 0.2500 0.8765
Pr 0.3647 0.7500 0.1235
Pr 0.9539 0.0068 0.2670
Pr 0.0461 0.5068 0.7330
Pr 0.9539 0.4932 0.2670
Pr 0.0461 0.9932 0.7330
Tl 0.2706 0.2500 0.0669
Tl 0.7294 0.7500 0.9331
Pd 0.2146 0.2500 0.5538
Pd 0.7854 0.7500 0.4462
CELL_PARAMETERS angstrom
-3.4003 -1.6579 -4.7409
-5.8099 -0.4834 4.3360
0.2798 9.2070 1.4013
```

Summary:
Its size of the total moment is 0.0 μB/f.u.

two | Density functional theory data (PBE) for crystalline Pr4TlPd at its relaxed geometry. Values from VASP.

Quantum ESPRESSO input file:
```
&SYSTEM
  ibrav = 0, nat = 12, ntyp = 3
/
ATOMIC_SPECIES
Pr 140.91 Pr.upf
Tl 204.38 Tl.upf
Pd 106.42 Pd.upf
ATOMIC_POSITIONS crystal
Pr 0.0551 0.2026 0.8456
Pr 0.7681 0.6962 0.6182
Pr 0.2906 0.6430 0.8456
Pr 0.3501 0.9220 0.6182
Pr 0.6499 0.0780 0.3818
Pr 0.7094 0.3570 0.1544
Pr 0.2319 0.3038 0.3818
Pr 0.9449 0.7974 0.1544
Tl 0.3659 0.6159 0.2319
Tl 0.6341 0.3841 0.7681
Pd 0.2532 0.0032 0.0063
Pd 0.7468 0.9968 0.9937
CELL_PARAMETERS angstrom
6.0580 -0.4017 0.0000
-2.0196 8.4756 0.0000
-2.0192 -4.0369 7.2501
```

Summary:
Its size of the total moment is 0.0 μB/f.u.

Result of the stability comparison: one is the most stable of them.

one | Density functional theory data (PBE) for crystalline Pr6Tl2Pd at its relaxed geometry. Values from VASP.

Quantum ESPRESSO input file:
```
&SYSTEM
  ibrav = 0, nat = 18, ntyp = 3
/
ATOMIC_SPECIES
Pr 140.91 Pr.upf
Tl 204.38 Tl.upf
Pd 106.42 Pd.upf
ATOMIC_POSITIONS crystal
Pr 0.0002 0.0206 0.1843
Pr 0.9999 0.6844 0.5206
Pr 0.0001 0.6141 0.8859
Pr 0.4999 0.1141 0.6141
Pr 0.5001 0.1844 0.9794
Pr 0.4998 0.5206 0.3157
Pr 0.9998 0.9794 0.8157
Pr 0.0001 0.3156 0.4794
Pr 0.9999 0.3859 0.1141
Pr 0.5001 0.8859 0.3859
Pr 0.4999 0.8156 0.0206
Pr 0.5002 0.4794 0.6843
Tl 0.0003 0.2937 0.7936
Tl 0.4997 0.7937 0.7064
Tl 0.5003 0.2063 0.2936
Tl 0.9997 0.7063 0.2064
Pd 0.5000 0.5000 0.0000
Pd 0.0000 0.0000 0.5000
CELL_PARAMETERS angstrom
5.1619 0.0000 0.2531
0.0000 10.4073 0.0000
-0.5108 0.0000 10.3889
```

Summary:
Its size of the total moment is 0.0 μB/f.u.

two | Density functional theory data (PBE) for crystalline Pr6Tl2Pd at its relaxed geometry. Values from VASP.

Quantum ESPRESSO input file:
```
&SYSTEM
  ibrav = 0, nat = 9, ntyp = 3
/
ATOMIC_SPECIES
Pr 140.91 Pr.upf
Tl 204.38 Tl.upf
Pd 106.42 Pd.upf
ATOMIC_POSITIONS crystal
Pr 0.5000 0.5991 0.0000
Pr 0.5000 0.4009 0.4009
Pr 0.5000 0.0000 0.5991
Pr 0.0000 0.2481 0.0000
Pr 0.0000 0.7519 0.7519
Pr 0.0000 0.0000 0.2481
Tl 0.0000 0.3333 0.6666
Tl 0.0000 0.6667 0.3334
Pd 0.5000 0.0000 0.0000
CELL_PARAMETERS angstrom
3.9349 0.0000 0.0000
0.0000 8.2391 -3.7939
0.0000 -0.8340 9.0322
```

Summary:
Its size of the total moment is 0.0 μB/f.u.

Result of the stability comparison: two is the most stable of them.

one | Density functional theory data (PBE) for crystalline PrTl3Pd3 at its relaxed geometry. Values from VASP.

Quantum ESPRESSO input file:
```
&SYSTEM
  ibrav = 0, nat = 7, ntyp = 3
/
ATOMIC_SPECIES
Pr 140.91 Pr.upf
Tl 204.38 Tl.upf
Pd 106.42 Pd.upf
ATOMIC_POSITIONS crystal
Pr 0.9753 0.9753 0.9753
Tl 0.5563 0.5563 0.1683
Tl 0.5563 0.1683 0.5563
Tl 0.1683 0.5563 0.5563
Pd 0.5045 0.0193 0.0193
Pd 0.0193 0.0193 0.5045
Pd 0.0193 0.5045 0.0193
CELL_PARAMETERS angstrom
5.7845 -0.1848 -0.2508
-1.5015 5.5892 -0.2508
-1.5015 -1.8947 5.2643
```

Summary:
Its size of the total moment is 0.0 μB/f.u.

two | Density functional theory data (PBE) for crystalline PrTl3Pd3 at its relaxed geometry. Values from VASP.

Quantum ESPRESSO input file:
```
&SYSTEM
  ibrav = 0, nat = 14, ntyp = 3
/
ATOMIC_SPECIES
Pr 140.91 Pr.upf
Tl 204.38 Tl.upf
Pd 106.42 Pd.upf
ATOMIC_POSITIONS crystal
Pr 0.5000 0.5000 0.5000
Pr 0.0000 0.0000 0.0000
Tl 0.2500 0.0000 0.5000
Tl 0.0000 0.5000 0.2500
Tl 0.5000 0.7500 0.0000
Tl 0.7500 0.0000 0.5000
Tl 0.0000 0.5000 0.7500
Tl 0.5000 0.2500 0.0000
Pd 0.0000 0.2500 0.5000
Pd 0.0000 0.7500 0.5000
Pd 0.5000 0.0000 0.7500
Pd 0.7500 0.5000 0.0000
Pd 0.5000 0.0000 0.2500
Pd 0.2500 0.5000 0.0000
CELL_PARAMETERS angstrom
-6.5835 2.3563 2.4864
-3.3794 -5.3488 -3.8789
0.5605 -4.5732 5.8179
```

Summary:
Its size of the total moment is 0.0 μB/f.u.

Result of the stability comparison: one is the most stable of them.

one | Density functional theory data (PBE) for crystalline Pr12TlPd6 at its relaxed geometry. Values from VASP.

Quantum ESPRESSO input file:
```
&SYSTEM
  ibrav = 0, nat = 19, ntyp = 3
/
ATOMIC_SPECIES
Pr 140.91 Pr.upf
Tl 204.38 Tl.upf
Pd 106.42 Pd.upf
ATOMIC_POSITIONS crystal
Pr 0.8519 0.6129 0.5537
Pr 0.5537 0.8519 0.6129
Pr 0.6129 0.5537 0.8519
Pr 0.1481 0.3871 0.4463
Pr 0.4463 0.1481 0.3871
Pr 0.3871 0.4463 0.1481
Pr 0.0301 0.8551 0.3219
Pr 0.1449 0.6781 0.9699
Pr 0.6781 0.9699 0.1449
Pr 0.9699 0.1449 0.6781
Pr 0.8551 0.3219 0.0301
Pr 0.3219 0.0301 0.8551
Tl 0.0000 0.0000 0.0000
Pd 0.7121 0.7840 0.3552
Pd 0.6448 0.2879 0.2160
Pd 0.2160 0.6448 0.2879
Pd 0.2879 0.2160 0.6448
Pd 0.3552 0.7121 0.7840
Pd 0.7840 0.3552 0.7121
CELL_PARAMETERS angstrom
-1.8096 -8.8670 -0.4507
5.9249 1.4545 6.6993
-7.6633 4.4751 1.8295
```

Summary:
Its size of the total moment is 0.0 μB/f.u.

two | Density functional theory data (PBE) for crystalline Pr12TlPd6 at its relaxed geometry. Values from VASP.

Quantum ESPRESSO input file:
```
&SYSTEM
  ibrav = 0, nat = 19, ntyp = 3
/
ATOMIC_SPECIES
Pr 140.91 Pr.upf
Tl 204.38 Tl.upf
Pd 106.42 Pd.upf
ATOMIC_POSITIONS crystal
Pr 0.3005 0.1166 0.8161
Pr 0.3005 0.4845 0.1839
Pr 0.6995 0.5155 0.8161
Pr 0.6995 0.8834 0.1839
Pr 0.1166 0.8161 0.3005
Pr 0.4845 0.1839 0.3005
Pr 0.5155 0.8161 0.6995
Pr 0.8834 0.1839 0.6995
Pr 0.8161 0.3005 0.1166
Pr 0.1839 0.3005 0.4845
Pr 0.8161 0.6995 0.5155
Pr 0.1839 0.6995 0.8834
Tl 0.0000 0.0000 0.0000
Pd 0.3676 0.5000 0.8676
Pd 0.6324 0.5000 0.1324
Pd 0.5000 0.8676 0.3676
Pd 0.5000 0.1324 0.6324
Pd 0.8676 0.3676 0.5000
Pd 0.1324 0.6324 0.5000
CELL_PARAMETERS angstrom
8.5007 0.0000 -3.0055
-4.2504 7.3618 -3.0055
0.0000 0.0000 9.0164
```

Summary:
Its size of the total moment is 0.0 μB/f.u.

Result of the stability comparison: two is the most stable of them.